Compound: MgSbRu2
Source: Alexandria
Functional: GGA-PBE
Structure: optimized geometry

Cell and atoms, written as POSCAR:
```
MgSbRu2
1.0
-0.7377 6.7906 4.7805
0.9880 4.9421 6.6416
2.3779 6.6622 4.4127
Sb Ru Mg
1 2 1
Cartesian
0.6570 4.5987 3.9587 Sb
2.6164 18.3128 15.7641 Ru
1.3258 9.2796 7.9881 Ru
1.9711 13.7962 11.8761 Mg
```

Calculated values
Total magnetic moment in μB per formula unit: 0.006


Compound: MgSbRu
Source: Alexandria
Functional: GGA-PBE
Structure: optimized geometry

Cell and atoms, written as POSCAR:
```
MgSbRu
1.0
-3.6297 -1.0513 3.4268
5.9363 0.2885 4.5076
-0.5943 2.7342 1.8560
Sb Ru Mg
2 2 2
Cartesian
2.4445 1.9931 6.2330 Sb
0.0339 0.0456 2.2571 Sb
4.5881 1.4612 4.6649 Ru
1.7293 1.5336 3.6431 Ru
0.2367 0.0192 5.3944 Mg
-3.1379 1.7567 4.8055 Mg
```

Calculated values
Total magnetic moment in μB per formula unit: 0.000


Compound: MgSb2Ru2
Source: Alexandria
Functional: GGA-PBE
Structure: optimized geometry

Cell and atoms, written as POSCAR:
```
MgSb2Ru2
1.0
-3.5488 2.4681 -0.4251
-2.3583 -3.5413 -0.8738
-4.0325 -1.1549 4.7681
Ru Mg Sb
2 1 2
Cartesian
-6.7434 -1.5525 2.9006 Ru
-3.1961 -0.6756 0.5685 Ru
0.0000 0.0000 0.0000 Mg
-5.2674 0.3883 1.8468 Sb
-4.6721 -2.6164 1.6224 Sb
```

Calculated values
Total magnetic moment in μB per formula unit: 0.000


Compound: MgSbRu2
Source: Alexandria
Functional: GGA-PBE
Structure: optimized geometry

Cell and atoms, written as POSCAR:
```
MgSbRu2
1.0
4.6818 0.0000 0.0000
0.0000 3.0750 -0.3200
0.0000 0.4723 4.5330
Mg Sb Ru
1 1 2
Cartesian
2.3409 3.0335 3.0136 Mg
0.0000 1.4013 2.2595 Sb
0.0000 2.7032 -0.1598 Ru
2.3409 1.2579 0.8862 Ru
```

Calculated values
Total magnetic moment in μB per formula unit: 0.000


Compound: Mg2SbRuSe
Source: Alexandria
Functional: GGA-PBE
Structure: optimized geometry

Cell and atoms, written as POSCAR:
```
Mg2SbRuSe
1.0
5.2774 0.0000 0.0000
0.0000 4.9990 0.0000
0.0000 0.0000 5.2774
Ru Mg Se Sb
1 2 1 1
Cartesian
0.0000 2.4995 0.0000 Ru
2.6387 0.0000 0.0000 Mg
0.0000 0.0000 2.6387 Mg
2.6387 2.4995 2.6387 Se
0.0000 0.0000 0.0000 Sb
```

Calculated values
Total magnetic moment in μB per formula unit: 2.265


Compound: MgSnSbRu2
Source: Alexandria
Functional: GGA-PBE
Structure: optimized geometry

Cell and atoms, written as POSCAR:
```
MgSnSbRu2
1.0
4.7287 0.0000 0.0000
0.0000 4.8279 0.0000
0.0000 0.0000 4.7287
Ru Mg Sb Sn
2 1 1 1
Cartesian
0.0000 0.0000 2.3643 Ru
2.3643 0.0000 0.0000 Ru
0.0000 0.0000 0.0000 Mg
0.0000 2.4139 0.0000 Sb
2.3643 2.4139 2.3643 Sn
```

Calculated values
Total magnetic moment in μB per formula unit: 0.001


Computed values of formation energy from raw total energies (unit: meV per atom) for the preceding records, in sequence: 206 -221 153 83 588 1302.